KScMo2O8 | PBE+U | optimized geometry

Calculated values
D(E_F) in states/eV/cell: 0.00
Calculated volume in Å³ per atom: 18.49
Total energy in eV/cell: -86.99

Lattice parameters (Å, degrees): 5.8830 5.8830 7.4030 90.00 90.00 120.00
Sites, in units of the cell vectors:
K1 0.0000 0.0000 0.0000
Sc1 0.0000 0.0000 0.5000
Mo1 0.3333 0.6667 0.7483
Mo2 0.6667 0.3333 0.2517
O1 0.1645 0.3289 0.6719
O2 0.1645 0.8355 0.6719
O3 0.3289 0.1645 0.3281
O4 0.3333 0.6667 0.9844
O5 0.6667 0.3333 0.0156
O6 0.6711 0.8355 0.6719
O7 0.8355 0.1645 0.3281
O8 0.8355 0.6711 0.3281